Compound: SbPbAu4
Source: Alexandria via LeMat-Bulk
Functional: GGA-PBE
Structure: relaxed

abc: 8.062 8.062 8.062
angles: 90.00 90.00 90.00
Space group F-43m (No. 216)
Symmetry-distinct sites (fractional):
Sb 0.000 0.000 0.000
Pb 0.250 0.250 0.750
Au 0.125 0.125 0.375

Values from the calculation:
The value obtained for the volume is 524 Å³/cell. The calculation puts the polymorph energy (0 for the lowest one) at 0.0000 eV/atom. As for the uncorrected formation energy: -0.1 eV/f.u. For the total energy, the calculation gives -3.507 eV per atom.

=====

Compound: Sb2PbAu4
Source: Alexandria via LeMat-Bulk
Functional: GGA-PBE
Structure: relaxed

abc: 17.500 6.254 5.969
angles: 90.00 96.40 90.00
Space group C2/c (No. 15)
Symmetry-distinct sites (fractional):
Sb 0.171 0.114 0.150
Pb 0.000 0.305 0.250
Au 0.079 0.249 0.738
Au 0.190 0.445 0.479

Values from the calculation:
The value obtained for the volume is 649 Å³/cell. As for the uncorrected formation energy: -0.1 eV/f.u. For the total energy, the calculation gives -3.591 eV per atom.

=====

Compound: SbPbAu3
Source: Alexandria via LeMat-Bulk
Functional: GGA-PBE
Structure: relaxed

abc: 5.232 5.232 5.232
angles: 90.00 90.00 90.00
Space group Pm-3m (No. 221)
Symmetry-distinct sites (fractional):
Sb 0.000 0.000 0.000
Pb 0.500 0.500 0.500
Au 0.000 0.000 0.500

Values from the calculation:
The value obtained for the volume is 143 Å³/cell. The calculation puts the polymorph energy (0 for the lowest one) at 0.3408 eV/atom. As for the uncorrected formation energy: 1.5 eV/f.u. For the total energy, the calculation gives -3.224 eV per atom.

=====

Compound: Sb2PbAu2
Source: Alexandria via LeMat-Bulk
Functional: GGA-PBE
Structure: relaxed

abc: 7.135 8.014 5.260
angles: 90.00 119.04 90.00
Space group C2/m (No. 12)
Symmetry-distinct sites (fractional):
Sb 0.000 0.239 0.000
Pb 0.000 0.500 0.500
Au 0.183 0.000 0.785

Values from the calculation:
The value obtained for the volume is 263 Å³/cell. The calculation puts the polymorph energy (0 for the lowest one) at 0.0296 eV/atom. As for the uncorrected formation energy: 0.3 eV/f.u. For the total energy, the calculation gives -3.636 eV per atom.

=====

Compound: Sb2Pb8Au
Source: Alexandria via LeMat-Bulk
Functional: GGA-PBE
Structure: relaxed

abc: 19.324 4.190 8.577
angles: 90.00 100.15 90.00
Space group C2/m (No. 12)
Symmetry-distinct sites (fractional):
Sb 0.177 0.000 0.269
Pb 0.009 0.000 0.265
Pb 0.092 0.500 0.008
Pb 0.152 0.500 0.533
Pb 0.209 0.000 0.855
Au 0.000 0.500 0.500

Values from the calculation:
The value obtained for the volume is 684 Å³/cell. The calculation puts the polymorph energy (0 for the lowest one) at 0.0000 eV/atom. As for the uncorrected formation energy: 0.3 eV/f.u. For the total energy, the calculation gives -3.720 eV per atom.

=====

Compound: Sb3PbAu2
Source: Alexandria via LeMat-Bulk
Functional: GGA-PBE
Structure: relaxed

abc: 4.161 8.479 9.968
angles: 90.00 90.00 90.00
Space group Amm2 (No. 38)
Symmetry-distinct sites (fractional):
Sb 0.000 0.000 0.000
Sb 0.500 0.196 0.376
Pb 0.000 0.000 0.592
Au 0.000 0.000 0.271
Au 0.500 0.000 0.805

Values from the calculation:
The value obtained for the volume is 352 Å³/cell. As for the uncorrected formation energy: 0.7 eV/f.u. For the total energy, the calculation gives -3.662 eV per atom.

=====

Compound: Sb2Pb5Au4
Source: Alexandria via LeMat-Bulk
Functional: GGA-PBE
Structure: relaxed

abc: 16.964 4.376 9.520
angles: 90.00 122.43 90.00
Space group C2/m (No. 12)
Symmetry-distinct sites (fractional):
Sb 0.051 0.000 0.391
Pb 0.000 0.000 0.000
Pb 0.156 0.500 0.972
Pb 0.247 0.500 0.664
Au 0.108 0.500 0.283
Au 0.143 0.000 0.740

Values from the calculation:
The value obtained for the volume is 597 Å³/cell. As for the uncorrected formation energy: -0.7 eV/f.u. For the total energy, the calculation gives -3.693 eV per atom.

=====

Compound: SbPb2Au2
Source: Alexandria via LeMat-Bulk
Functional: GGA-PBE
Structure: relaxed

abc: 7.575 7.575 4.490
angles: 90.00 90.00 90.00
Space group P4/mbm (No. 127)
Symmetry-distinct sites (fractional):
Sb 0.000 0.000 0.000
Pb 0.170 0.330 0.500
Au 0.133 0.633 0.000

Values from the calculation:
The value obtained for the volume is 258 Å³/cell. The calculation puts the polymorph energy (0 for the lowest one) at 0.0065 eV/atom. As for the uncorrected formation energy: -0.3 eV/f.u. For the total energy, the calculation gives -3.673 eV per atom.

=====

Compound: Sb2Pb5Au
Source: Alexandria via LeMat-Bulk
Functional: GGA-PBE
Structure: relaxed

abc: 16.793 8.631 6.799
angles: 90.00 98.39 90.00
Space group C2/c (No. 15)
Symmetry-distinct sites (fractional):
Sb 0.124 0.199 0.169
Pb 0.000 0.470 0.250
Pb 0.079 0.160 0.604
Pb 0.199 0.428 0.867
Au 0.250 0.250 0.500

Values from the calculation:
The value obtained for the volume is 975 Å³/cell. As for the uncorrected formation energy: 0.1 eV/f.u. For the total energy, the calculation gives -3.745 eV per atom.

=====

Compound: SbPbAuSe3
Source: Alexandria via LeMat-Bulk
Functional: GGA-PBE
Structure: relaxed

abc: 8.474 4.121 9.465
angles: 90.00 100.63 90.00
Space group P2_1/m (No. 11)
Symmetry-distinct sites (fractional):
Sb 0.170 0.250 0.140
Pb 0.316 0.750 0.722
Au 0.417 0.750 0.407
Se 0.080 0.250 0.850
Se 0.230 0.250 0.486
Se 0.398 0.750 0.125

Values from the calculation:
The value obtained for the volume is 325 Å³/cell. As for the uncorrected formation energy: -1.4 eV/f.u. For the total energy, the calculation gives -3.822 eV per atom.

=====

Compound: SmSbPbAu
Source: Alexandria via LeMat-Bulk
Functional: GGA-PBE
Structure: relaxed

abc: 7.544 7.544 7.544
angles: 90.00 90.00 90.00
Space group F-43m (No. 216)
Symmetry-distinct sites (fractional):
Sm 0.000 0.000 0.000
Sb 0.250 0.250 0.250
Pb 0.000 0.000 0.500
Au 0.250 0.250 0.750

Values from the calculation:
The value obtained for the volume is 429 Å³/cell. As for the uncorrected formation energy: -1.8 eV/f.u. For the total energy, the calculation gives -4.406 eV per atom.

=====

Compound: SnSbPbAu
Source: Alexandria via LeMat-Bulk
Functional: GGA-PBE
Structure: relaxed

abc: 4.6183 4.6183 38.3885
angles: 90.00 90.00 120.00
Space group R-3m (No. 166, hexagonal axes)
Symmetry-distinct sites (fractional):
Sn 0.0000 0.0000 0.1836
Sb 0.0000 0.0000 0.0917
Pb 0.0000 0.0000 0.3651
Au 0.0000 0.0000 0.2648

Values from the calculation:
The value obtained for the volume is 709 Å³/cell. As for the uncorrected formation energy: 0.0 eV/f.u. For the total energy, the calculation gives -3.781 eV per atom.

=====

Compound: SnSbPbAu2
Source: Alexandria via LeMat-Bulk
Functional: GGA-PBE
Structure: relaxed

abc: 13.142 4.599 10.431
angles: 90.00 123.55 90.00
Space group C2/m (No. 12)
Symmetry-distinct sites (fractional):
Sn 0.096 0.000 0.454
Sb 0.111 0.500 0.875
Pb 0.147 0.000 0.152
Au 0.144 0.500 0.343
Au 0.175 0.000 0.775

Values from the calculation:
The value obtained for the volume is 525 Å³/cell. As for the uncorrected formation energy: -0.4 eV/f.u. For the total energy, the calculation gives -3.750 eV per atom.

=====

Compound: SnSb2Pb3Au6
Source: Alexandria via LeMat-Bulk
Functional: GGA-PBE
Structure: relaxed

abc: 5.9892 5.9892 9.4915
angles: 90.00 90.00 120.00
Space group P-3m1 (No. 164)
Symmetry-distinct sites (fractional):
Sn 0.0000 0.0000 0.0000
Sb 0.3333 0.6667 0.5286
Pb 0.0000 0.0000 0.5000
Pb 0.3333 0.6667 0.0938
Au 0.1713 0.3426 0.7713

Values from the calculation:
The value obtained for the volume is 295 Å³/cell. As for the uncorrected formation energy: -0.2 eV/f.u. For the total energy, the calculation gives -3.602 eV per atom.

=====

Compound: SnSbPb2Au6
Source: Alexandria via LeMat-Bulk
Functional: GGA-PBE
Structure: relaxed

abc: 5.729 9.006 9.668
angles: 90.00 90.00 90.00
Space group Pmmn (No. 59, origin choice 2)
Symmetry-distinct sites (fractional):
Sn 0.250 0.250 0.237
Sb 0.250 0.750 0.237
Pb 0.250 0.507 0.780
Au 0.000 0.250 0.002
Au 0.004 0.750 0.512
Au 0.250 0.503 0.399

Values from the calculation:
The value obtained for the volume is 499 Å³/cell. As for the uncorrected formation energy: -0.2 eV/f.u. For the total energy, the calculation gives -3.540 eV per atom.

=====

Compound: Sn2SbPbAu
Source: Alexandria via LeMat-Bulk
Functional: GGA-PBE
Structure: relaxed

abc: 6.868 4.752 9.057
angles: 90.00 95.13 90.00
Space group P2_1/m (No. 11)
Symmetry-distinct sites (fractional):
Sn 0.020 0.250 0.197
Sn 0.347 0.750 0.393
Sb 0.205 0.250 0.556
Pb 0.329 0.250 0.910
Au 0.204 0.750 0.093

Values from the calculation:
The value obtained for the volume is 294 Å³/cell. As for the uncorrected formation energy: -0.1 eV/f.u. For the total energy, the calculation gives -3.845 eV per atom.

=====

Compound: SnSb2PbAu4
Source: Alexandria via LeMat-Bulk
Functional: GGA-PBE
Structure: relaxed

abc: 8.884 11.570 7.586
angles: 90.00 90.00 90.00
Space group Fmm2 (No. 42)
Symmetry-distinct sites (fractional):
Sn 0.000 0.000 0.000
Sb 0.250 0.250 0.249
Pb 0.000 0.000 0.500
Au 0.000 0.245 0.998
Au 0.250 0.000 0.250

Values from the calculation:
The value obtained for the volume is 780 Å³/cell. As for the uncorrected formation energy: -0.5 eV/f.u. For the total energy, the calculation gives -3.693 eV per atom.

=====

Compound: TbSbPbAu
Source: Alexandria via LeMat-Bulk
Functional: GGA-PBE
Structure: relaxed

abc: 7.489 7.489 7.489
angles: 90.00 90.00 90.00
Space group F-43m (No. 216)
Symmetry-distinct sites (fractional):
Tb 0.000 0.000 0.000
Sb 0.250 0.250 0.250
Pb 0.000 0.000 0.500
Au 0.250 0.250 0.750

Values from the calculation:
The value obtained for the volume is 420 Å³/cell. As for the uncorrected formation energy: -1.7 eV/f.u. For the total energy, the calculation gives -4.355 eV per atom.

=====

Compound: SbTe2PbAu
Source: Alexandria via LeMat-Bulk
Functional: GGA-PBE
Structure: relaxed

abc: 5.804 5.804 5.849
angles: 90.00 90.00 90.00
Space group P4/mmm (No. 123)
Symmetry-distinct sites (fractional):
Sb 0.000 0.000 0.000
Te 0.000 0.500 0.500
Pb 0.000 0.000 0.500
Au 0.500 0.500 0.000

Values from the calculation:
The value obtained for the volume is 197 Å³/cell. The calculation puts the polymorph energy (0 for the lowest one) at 0.6820 eV/atom. As for the uncorrected formation energy: 4.9 eV/f.u. For the total energy, the calculation gives -2.495 eV per atom.

=====

Compound: Sb2TePbAu
Source: Alexandria via LeMat-Bulk
Functional: GGA-PBE
Structure: relaxed

abc: 5.805 5.805 5.744
angles: 90.00 90.00 90.00
Space group P4/mmm (No. 123)
Symmetry-distinct sites (fractional):
Sb 0.000 0.500 0.000
Te 0.000 0.000 0.500
Pb 0.000 0.000 0.000
Au 0.500 0.500 0.500

Values from the calculation:
The value obtained for the volume is 194 Å³/cell. The calculation puts the polymorph energy (0 for the lowest one) at 0.6881 eV/atom. As for the uncorrected formation energy: 5.4 eV/f.u. For the total energy, the calculation gives -2.600 eV per atom.

=====

Compound: SbTe2PbAu
Source: Alexandria via LeMat-Bulk
Functional: GGA-PBE
Structure: relaxed

abc: 5.572 5.572 5.279
angles: 90.00 90.00 90.00
Space group P4/mmm (No. 123)
Symmetry-distinct sites (fractional):
Sb 0.000 0.000 0.000
Te 0.000 0.500 0.500
Pb 0.500 0.500 0.000
Au 0.000 0.000 0.500

Values from the calculation:
The value obtained for the volume is 164 Å³/cell. The calculation puts the polymorph energy (0 for the lowest one) at 0.0000 eV/atom. As for the uncorrected formation energy: 1.5 eV/f.u. For the total energy, the calculation gives -3.177 eV per atom.

=====

Compound: Sb2TePbAu
Source: Alexandria via LeMat-Bulk
Functional: GGA-PBE
Structure: relaxed

abc: 5.385 5.385 5.607
angles: 90.00 90.00 90.00
Space group P4/mmm (No. 123)
Symmetry-distinct sites (fractional):
Sb 0.000 0.500 0.000
Te 0.000 0.000 0.500
Pb 0.500 0.500 0.500
Au 0.000 0.000 0.000

Values from the calculation:
The value obtained for the volume is 163 Å³/cell. The calculation puts the polymorph energy (0 for the lowest one) at 0.0000 eV/atom. As for the uncorrected formation energy: 1.9 eV/f.u. For the total energy, the calculation gives -3.288 eV per atom.

=====

Compound: ThSbPbAu
Source: Alexandria via LeMat-Bulk
Functional: GGA-PBE
Structure: relaxed

abc: 7.556 7.556 7.556
angles: 90.00 90.00 90.00
Space group F-43m (No. 216)
Symmetry-distinct sites (fractional):
Th 0.000 0.000 0.000
Sb 0.250 0.250 0.750
Pb 0.000 0.000 0.500
Au 0.250 0.250 0.250

Values from the calculation:
The value obtained for the volume is 431 Å³/cell. As for the uncorrected formation energy: -1.5 eV/f.u. For the total energy, the calculation gives -5.011 eV per atom.

=====

Compound: Ti2SbPbAu
Source: Alexandria via LeMat-Bulk
Functional: GGA-PBE
Structure: relaxed

abc: 5.106 5.106 5.834
angles: 90.00 90.00 90.00
Space group P4/mmm (No. 123)
Symmetry-distinct sites (fractional):
Ti 0.000 0.500 0.000
Sb 0.000 0.000 0.000
Pb 0.000 0.000 0.500
Au 0.500 0.500 0.500

Values from the calculation:
The value obtained for the volume is 152 Å³/cell. As for the uncorrected formation energy: 4.4 eV/f.u. For the total energy, the calculation gives -4.500 eV per atom.